# 1
A relaxed structure of AsOsF2, computed with GGA-PBEsol. Values from VASP.

```
&SYSTEM
  ibrav = 0, nat = 8, ntyp = 3
/
ATOMIC_SPECIES
As 74.92 As.upf
Os 190.23 Os.upf
F 19.00 F.upf
CELL_PARAMETERS angstrom
-3.5940 3.5940 2.3228
3.5940 -3.5940 2.3228
3.5940 3.5940 -2.3228
ATOMIC_POSITIONS crystal
As 0.0000 0.0000 0.0000
As 0.7500 0.2500 0.5000
Os 0.2500 0.7500 0.5000
Os 0.5000 0.5000 0.0000
F 0.2346 0.1250 0.6096
F 0.3750 0.7654 0.8904
F 0.5154 0.6250 0.3903
F 0.8750 0.4846 0.1096
```

Crystal system = tetragonal
Raw formation energy = -0.19 eV per atom
Space group = I-42d (122)



# 2
A relaxed structure of NiAgAu3, computed with GGA-PBEsol. Values from VASP.

```
&SYSTEM
  ibrav = 0, nat = 5, ntyp = 3
/
ATOMIC_SPECIES
Ni 58.69 Ni.upf
Ag 107.87 Ag.upf
Au 196.97 Au.upf
CELL_PARAMETERS angstrom
4.6451 0.0000 0.0000
0.0000 4.6451 0.0000
0.0000 0.0000 4.6451
ATOMIC_POSITIONS crystal
Ni 0.0000 0.0000 0.0000
Ag 0.5000 0.5000 0.5000
Au 0.0000 0.0000 0.5000
Au 0.0000 0.5000 0.0000
Au 0.5000 0.0000 0.0000
```

Crystal system = cubic
ΔH_f (0 K) = 0.77 eV per atom
Space group = Pm-3m (221)



# 3
A relaxed structure of AlTeRhI2, computed with GGA-PBEsol. Values from VASP.

```
&SYSTEM
  ibrav = 0, nat = 5, ntyp = 4
/
ATOMIC_SPECIES
Al 26.98 Al.upf
Te 127.60 Te.upf
Rh 102.91 Rh.upf
I 126.90 I.upf
CELL_PARAMETERS angstrom
5.4674 0.0000 0.0000
0.0000 5.4674 0.0000
0.0000 0.0000 5.0020
ATOMIC_POSITIONS crystal
Al 0.0000 0.0000 0.0000
Te 0.5000 0.5000 0.0000
Rh 0.5000 0.5000 0.5000
I 0.0000 0.5000 0.5000
I 0.5000 0.0000 0.5000
```

Crystal system = tetragonal
Raw formation energy = 0.24 eV per atom
Space group = P4/mmm (123)



| no. | VASP energy (eV/atom) |
| --- | --- |
| 1 | -5.4870 |
| 2 | -3.4765 |
| 3 | -3.6141 |